1.
This record from Alexandria describes an optimized crystal structure of KGeTe3. The functional is PBE. Values from VASP.

```
&SYSTEM
  ibrav = 0, nat = 20, ntyp = 3
/
ATOMIC_SPECIES
K 39.10 K.upf
Ge 72.64 Ge.upf
Te 127.60 Te.upf
ATOMIC_POSITIONS angstrom
K -1.274 1.792 3.880
K -5.723 2.089 9.205
K 6.282 5.672 1.445
K 1.833 5.969 6.770
Ge -3.383 5.209 5.703
Ge 1.066 6.432 0.378
Ge -0.506 1.328 10.272
Ge 3.943 2.552 4.947
Te 1.068 1.205 1.241
Te -3.381 2.675 6.566
Te 0.668 4.768 2.395
Te -3.781 6.873 7.720
Te -5.532 5.705 9.837
Te -1.083 5.936 4.512
Te 1.642 1.825 6.138
Te 6.091 2.055 0.813
Te 4.340 0.888 2.930
Te -0.109 2.993 8.255
Te 3.940 5.085 4.084
Te -0.509 6.555 9.409
CELL_PARAMETERS angstrom
9.457 0.000 0.000
0.000 7.761 0.000
-8.898 0.000 10.650
```

**Energy relative to the elements, uncorrected**: -364 meV/atom


2.
This record from Alexandria describes an optimized crystal structure of LaNd6HoEr2. The functional is PBE. Values from VASP.

```
&SYSTEM
  ibrav = 0, nat = 20, ntyp = 4
/
ATOMIC_SPECIES
La 138.91 La.upf
Nd 144.24 Nd.upf
Ho 164.93 Ho.upf
Er 167.26 Er.upf
ATOMIC_POSITIONS angstrom
La 3.896 7.082 7.217
La 4.441 -7.082 2.406
Nd 1.906 4.183 6.570
Nd 4.047 4.908 0.548
Nd 4.834 4.908 4.264
Nd 2.871 1.686 8.501
Nd 5.886 4.183 7.865
Nd 4.921 1.686 5.933
Nd 3.416 -1.686 3.690
Nd 2.450 -4.183 1.758
Nd 5.465 -1.686 1.122
Nd 3.503 -4.908 5.359
Nd 4.290 -4.908 9.075
Nd 6.431 -4.183 3.054
Ho 4.441 1.364 2.406
Ho 3.896 -1.364 7.217
Er 1.770 0.731 5.308
Er 2.314 -0.731 0.496
Er 6.023 0.731 9.127
Er 6.567 -0.731 4.315
CELL_PARAMETERS angstrom
4.713 -7.602 0.000
4.713 7.602 0.000
-1.089 0.000 9.623
```

**Formation energy from the elements**: 1.1 eV per formula unit


Number 1: DFT total energy -67.84 eV/cell. Number 2: DFT total energy -92.20 eV/cell.